## Zr2TiBe2Rh5 (GGA-PBE)

Data for an optimized crystal structure of Zr2TiBe2Rh5. Values from VASP.

The structure in Quantum ESPRESSO input format:
```
&SYSTEM
  ibrav = 0, nat = 20, ntyp = 4
/
ATOMIC_SPECIES
Rh 102.91 Rh.upf
Ti 47.87 Ti.upf
Be 9.01 Be.upf
Zr 91.22 Zr.upf
CELL_PARAMETERS angstrom
3.2456 0.0000 0.0000
0.0000 9.4206 0.0000
0.0000 0.0000 9.4206
ATOMIC_POSITIONS crystal
Rh 0.5000 0.5699 0.7110
Rh 0.5000 0.0000 0.5000
Rh 0.5000 0.2890 0.5699
Rh 0.5000 0.0699 0.7890
Rh 0.5000 0.4301 0.2890
Rh 0.5000 0.2110 0.0699
Rh 0.5000 0.5000 0.0000
Rh 0.5000 0.9301 0.2110
Rh 0.5000 0.7890 0.9301
Rh 0.5000 0.7110 0.4301
Ti 0.0000 0.5000 0.5000
Ti 0.0000 0.0000 0.0000
Be 0.0000 0.3786 0.1214
Be 0.0000 0.6214 0.8786
Be 0.0000 0.1214 0.6214
Be 0.0000 0.8786 0.3786
Zr 0.0000 0.6744 0.1744
Zr 0.0000 0.8256 0.6744
Zr 0.0000 0.3256 0.8256
Zr 0.0000 0.1744 0.3256
```

* DOS at the Fermi energy: 0.55 states/eV/atom
* ρ: 8.80 g/cm3
* space group: P4/mbm
* E_tot: -155.2 eV for the cell shown